## Sc2BePb (GGA-PBE)

Data for an optimized crystal structure of Sc2BePb.

```
8
Lattice="7.5453 0.0000 0.0000 0.0000 7.5453 0.0000 3.7726 3.7726 3.0496" Properties=species:S:1:pos:R:3 pbc="T T T"
Be 3.7726 7.5453 1.5248
Be 3.7726 3.7726 0.0000
Pb 7.5453 3.7726 1.5248
Pb 0.0000 0.0000 0.0000
Sc 9.4316 9.1184 2.2872
Sc 5.3458 1.8863 0.7624
Sc 2.1995 5.6590 0.7624
Sc 5.6590 5.9721 2.2872
```

- formation energy from the elements (kJ/mol of atoms) = 17
- total magnetic moment (μB per formula unit) = 0.00
- E above lowest polymorph (kJ/mol of formula units) = 122
- SG = I-42d (122)
- Fermi-level density of states (states/eV/f.u.) = 4.2